Entry 1:
An optimized crystal structure of Ba2Sc2Au. Source: Alexandria, functional PBE.

Cell lengths 7.3692, 7.3692, 6.0565 Å; angles 90.00, 90.00, 90.00 degrees
Closest atoms and distances in Å follow each position.
Sites, in units of the cell vectors:
Sc 0.3471 0.8471 0.0000  2 Au 2.80
Sc 0.8471 0.6529 0.0000  2 Au 2.80
Sc 0.6529 0.1529 0.0000  2 Au 2.80
Sc 0.1529 0.3471 0.0000  2 Au 2.80
Au 0.0000 0.0000 0.0000  4 Sc 2.80
Au 0.5000 0.5000 0.0000  4 Sc 2.80
Ba 0.1825 0.6825 0.5000  2 Sc 3.48, 5 Ba 3.80-3.82
Ba 0.6825 0.8175 0.5000  2 Sc 3.48, 5 Ba 3.80-3.82
Ba 0.8175 0.3175 0.5000  2 Sc 3.48, 5 Ba 3.80-3.82
Ba 0.3175 0.1825 0.5000  2 Sc 3.48, 5 Ba 3.80-3.82

Summary:
**Crystal system**: tetragonal
**Energy above the most stable polymorph in this dataset**: 0 meV per atom
**Total moment**: 0.00 μB per formula unit
**Electronic total energy**: -3.9558 eV per atom
**DOS at the Fermi energy**: 2.4070 states/eV/atom
**Formation energy from the elements**: 0.001 eV/atom

Entry 2:
An optimized crystal structure of BaScAu2. Source: Alexandria, functional PBE.

Cell lengths 3.9428, 3.9428, 7.2783 Å; angles 90.00, 90.00, 90.00 degrees
Closest atoms and distances in Å follow each position.
Sites, in units of the cell vectors:
Au 0.0000 0.0000 0.9535  4 Sc 2.87
Au 0.5000 0.5000 0.2278  1 Sc 2.68
Ba 0.0000 0.0000 0.4588  5 Au 3.26-3.60
Sc 0.5000 0.5000 0.8600  5 Au 2.68-2.87

Summary:
**Crystal system**: tetragonal
**Energy above the most stable polymorph in this dataset**: 241 meV per atom
**Total moment**: 0.00 μB per formula unit
**Electronic total energy**: -4.1255 eV per atom
**DOS at the Fermi energy**: 0.6139 states/eV/atom
**Formation energy from the elements**: -0.423 eV/atom

Entry 3:
An optimized crystal structure of BaScAu2. Source: Alexandria, functional PBE.

Cell lengths 7.6067, 7.6067, 7.6067 Å; angles 33.09, 33.09, 33.09 degrees
Closest atoms and distances in Å follow each position.
Sites, in units of the cell vectors:
Au 0.0583 0.0583 0.0583  3 Sc 2.77
Au 0.2752 0.2752 0.2752  3 Sc 2.83
Ba 0.4967 0.4967 0.4967  6 Au 3.37-3.47, 1 Sc 3.73
Sc 0.6698 0.6698 0.6698  6 Au 2.77-2.83

Summary:
**Crystal system**: trigonal
**Energy above the most stable polymorph in this dataset**: 102 meV per atom
**Total moment**: 0.00 μB per formula unit
**Electronic total energy**: -4.2641 eV per atom
**DOS at the Fermi energy**: 0.6744 states/eV/atom
**Formation energy from the elements**: -0.562 eV/atom

Entry 4:
An optimized crystal structure of BaSc2Au. Source: Alexandria, functional PBE.

Cell lengths 6.5440, 6.5440, 6.5440 Å; angles 146.66, 133.31, 58.58 degrees
Closest atoms and distances in Å follow each position.
Sites, in units of the cell vectors:
Au 0.5242 0.5242 0.0000  2 Sc 2.70
Ba 0.2851 0.7851 0.5000  2 Au 3.31, 6 Sc 3.37-3.54
Sc 0.9965 0.9965 0.0000  4 Au 3.22, 2 Sc 3.44, 2 Ba 3.54
Sc 0.6941 0.1941 0.5000  2 Au 2.70

Summary:
**Crystal system**: orthorhombic
**Energy above the most stable polymorph in this dataset**: 161 meV per atom
**Total moment**: 0.00 μB per formula unit
**Electronic total energy**: -4.5335 eV per atom
**DOS at the Fermi energy**: 1.3121 states/eV/atom
**Formation energy from the elements**: -0.068 eV/atom